1.
{"formula": "AlCd2Os", "functional": "SCAN", "state": "single point on PBEsol structure", "lattice_angstrom": [[2.749, 0.000, 0.000], [-0.068, 4.787, 0.000], [0.000, 0.000, 5.149]], "species": ["Cd", "Cd", "Os", "Al"], "fractional_positions": [[0.745, 0.749, 0.000], [0.255, 0.251, 0.000], [0.000, 0.500, 0.500], [0.500, 0.000, 0.500]], "volume_a3_per_atom": 16.94, "formation_energy_ev_per_atom": 0.29}

2.
{"formula": "Al2CdP", "functional": "SCAN", "state": "single point on PBEsol structure", "lattice_angstrom": [[3.065, 0.578, 0.000], [-0.578, 3.065, 0.000], [0.000, 0.000, 7.105]], "species": ["P", "Al", "Cd", "Al"], "fractional_positions": [[0.500, 0.500, 0.000], [0.000, 0.000, 0.198], [0.500, 0.500, 0.500], [0.000, 0.000, 0.802]], "relative_energy_mev_per_atom": 83, "volume_a3_per_atom": 17.28, "formation_energy_ev_per_atom": 0.09}